First-principles (meta-GGA SCAN) data for a PBEsol-optimized structure of Te2AuSe, as listed in the Alexandria database.

The structure in POSCAR format:
```
Te2AuSe
1.0
4.429 0.000 0.000
2.214 3.835 0.000
2.214 1.278 7.980
Te Au Se
2 1 1
Cartesian
2.214 1.278 5.432
6.643 3.835 2.549
0.000 0.000 0.000
4.429 2.557 3.990
```

Computed properties:
The density of states at the Fermi level comes out at 0.46 states/eV per atom. Its space group is R-3m (166). The value obtained for the final energy is -40.62 eV per atom. Its crystal system is trigonal.